CdSn2Ir: relaxed, PBE.

Results
Raw total energy (eV per atom): -4.47
Theoretical density (g/cm3): 9.66
ΔH_f (0 K) (eV per atom): -0.021

Unit cell a=3.111 b=4.465 c=13.409 alpha=90.00 beta=90.00 gamma=90.00
Space group Amm2 (No. 38)
Unique sites:
Cd 0.000 0.000 0.000 x2
Sn 0.000 0.000 0.326 x2
Sn 0.000 0.000 0.639 x2
Ir 0.500 0.000 0.813 x2

La3TmIn: relaxed, PBE.

Results
Raw total energy (eV per atom): -4.57
Theoretical density (g/cm3): 7.08
ΔH_f (0 K) (eV per atom): -0.173

Unit cell a=6.543 b=6.596 c=8.626 alpha=77.95 beta=76.46 gamma=66.27
Space group P-1 (No. 2)
Unique sites:
La 0.166 0.145 0.379 x2
La 0.200 0.665 0.233 x2
La 0.314 0.797 0.779 x2
Tm 0.270 0.266 0.969 x2
In 0.352 0.362 0.596 x2

Np6Se12Br: relaxed, PBE.

Results
Raw total energy (eV per atom): -7.31
Theoretical density (g/cm3): 7.83
Formation energy from raw total energies (meV per atom): -932.7

Unit cell a=13.1305 b=13.1305 c=10.4316 alpha=90.00 beta=90.00 gamma=120.00
Space group R-3m (No. 166, hexagonal axes)
Unique sites:
Np 0.0546 0.5273 0.2817 x18
Se 0.0000 0.3702 0.5000 x18
Se 0.0873 0.1746 0.3636 x18
Br 0.0000 0.0000 0.0000 x3

Sr2SmMnSe5: relaxed, PBE.

Results
Raw total energy (eV per atom): -5.38
Theoretical density (g/cm3): 5.13
Formation energy from raw total energies (meV per atom): -1523.8

Unit cell a=4.203 b=18.528 c=12.883 alpha=90.00 beta=90.00 gamma=90.00
Space group Cmc2_1 (No. 36)
Unique sites:
Sr 0.000 0.118 0.000 x4
Sr 0.000 0.122 0.350 x4
Sm 0.000 0.199 0.694 x4
Mn 0.000 0.444 0.088 x4
Se 0.000 0.034 0.682 x4
Se 0.000 0.302 0.347 x4
Se 0.000 0.317 0.031 x4
Se 0.000 0.352 0.674 x4
Se 0.000 0.500 0.423 x4

Zr3CdN: relaxed, PBE.

Results
Raw total energy (eV per atom): -7.70
Theoretical density (g/cm3): 6.95
Formation energy from raw total energies (meV per atom): -719.4

Unit cell a=5.709 b=3.279 c=10.211 alpha=90.00 beta=90.05 gamma=90.00
Space group P2/m (No. 10)
Unique sites:
Zr 0.000 0.000 0.000 x1
Zr 0.162 0.500 0.254 x2
Zr 0.322 0.000 0.751 x2
Zr 0.500 0.500 0.000 x1
Cd 0.000 0.000 0.500 x1
Cd 0.500 0.500 0.500 x1
N 0.167 0.500 0.868 x2

CrTeRh2: relaxed, PBE.

Results
Raw total energy (eV per atom): -6.90
Theoretical density (g/cm3): 10.11
Formation energy from raw total energies (meV per atom): -30.4

Unit cell a=4.042 b=4.042 c=3.873 alpha=90.00 beta=90.00 gamma=90.00
Space group P4/mmm (No. 123)
Unique sites:
Cr 0.000 0.000 0.000 x1
Te 0.500 0.500 0.000 x1
Rh 0.000 0.500 0.500 x2

ReSbTe2Pt: relaxed, PBE.

Results
Raw total energy (eV per atom): -4.44
Theoretical density (g/cm3): 8.72
Formation energy from raw total energies (meV per atom): 1342.6

Unit cell a=5.318 b=5.318 c=5.108 alpha=90.00 beta=90.00 gamma=90.00
Space group P4/mmm (No. 123)
Unique sites:
Re 0.000 0.000 0.000 x1
Sb 0.500 0.500 0.000 x1
Te 0.000 0.500 0.500 x2
Pt 0.500 0.500 0.500 x1

LiTm3Zn4: relaxed, PBE.

Results
Raw total energy (eV per atom): -2.84
Theoretical density (g/cm3): 7.82
ΔH_f (0 K) (eV per atom): -0.283

Unit cell a=4.8714 b=4.8714 c=24.0496 alpha=90.00 beta=90.00 gamma=120.00
Space group R-3m (No. 166, hexagonal axes)
Unique sites:
Li 0.0000 0.0000 0.0000 x3
Tm 0.0000 0.0000 0.2535 x6
Tm 0.0000 0.0000 0.5000 x3
Zn 0.0000 0.0000 0.1215 x6
Zn 0.0000 0.0000 0.3745 x6

YSCl2O: relaxed, PBE.

Results
Raw total energy (eV per atom): -4.49
Theoretical density (g/cm3): 2.30
Formation energy from raw total energies (meV per atom): -639.5

Unit cell a=5.218 b=5.218 c=5.515 alpha=90.00 beta=90.00 gamma=90.00
Space group P4/mmm (No. 123)
Unique sites:
Y 0.000 0.000 0.000 x1
S 0.000 0.000 0.500 x1
Cl 0.000 0.500 0.000 x2
O 0.500 0.500 0.500 x1

PaZnAuO5: relaxed, PBE.

Results
Raw total energy (eV per atom): -6.46
Theoretical density (g/cm3): 8.20
Formation energy from raw total energies (meV per atom): -1605.3

Unit cell a=8.239 b=7.729 c=8.365 alpha=90.00 beta=119.27 gamma=90.00
Space group C2/c (No. 15)
Unique sites:
Pa 0.000 0.194 0.250 x4
Zn 0.000 0.500 0.000 x4
Au 0.000 0.228 0.750 x4
O 0.000 0.496 0.250 x4
O 0.016 0.230 0.515 x8
O 0.206 0.013 0.352 x8

Hf5Zn4Au: relaxed, PBE.

Results
Raw total energy (eV per atom): -6.05
Theoretical density (g/cm3): 12.22
ΔH_f (0 K) (eV per atom): -0.233

Unit cell a=3.307 b=3.307 c=16.783 alpha=90.00 beta=90.00 gamma=90.00
Space group P4/mmm (No. 123)
Unique sites:
Hf 0.000 0.000 0.000 x1
Hf 0.000 0.000 0.196 x2
Hf 0.000 0.000 0.393 x2
Zn 0.500 0.500 0.098 x2
Zn 0.500 0.500 0.294 x2
Au 0.500 0.500 0.500 x1

K4Sm3SiO8: relaxed, PBE.

Results
Raw total energy (eV per atom): -6.29
Theoretical density (g/cm3): 4.95
Formation energy from raw total energies (meV per atom): -2317.6

Unit cell a=6.8565 b=6.8565 c=18.8723 alpha=90.00 beta=90.00 gamma=120.00
Space group R-3m (No. 166, hexagonal axes)
Unique sites:
K 0.0000 0.0000 0.0000 x3
K 0.0000 0.5000 0.0000 x9
Sm 0.0000 0.5000 0.5000 x9
Si 0.0000 0.0000 0.5000 x3
O 0.0000 0.0000 0.2334 x6
O 0.0600 0.5300 0.2222 x18

Mg3AgH: relaxed, PBE.

Results
Raw total energy (eV per atom): -1.60
Theoretical density (g/cm3): 2.20

Unit cell a=5.157 b=5.157 c=5.157 alpha=90.00 beta=90.00 gamma=90.00
Space group Pm-3m (No. 221)
Unique sites:
Mg 0.000 0.000 0.500 x3
Ag 0.000 0.000 0.000 x1
H 0.500 0.500 0.500 x1

Sm5Ge4: relaxed, PBE.

Results
Raw total energy (eV per atom): -5.47
Theoretical density (g/cm3): 7.57
ΔH_f (0 K) (eV per atom): -0.793

Unit cell a=11.064 b=4.409 c=10.114 alpha=90.00 beta=112.04 gamma=90.00
Space group C2/m (No. 12)
Unique sites:
Sm 0.000 0.000 0.000 x2
Sm 0.098 0.000 0.391 x4
Sm 0.247 0.000 0.832 x4
Ge 0.047 0.500 0.831 x4
Ge 0.127 0.500 0.610 x4

RbHf2GeCl: relaxed, PBE.

Results
Raw total energy (eV per atom): -4.86
Theoretical density (g/cm3): 6.93
Formation energy from raw total energies (meV per atom): 610.4

Unit cell a=4.846 b=4.846 c=5.615 alpha=90.00 beta=90.00 gamma=90.00
Space group P4/mmm (No. 123)
Unique sites:
Rb 0.000 0.000 0.000 x1
Hf 0.000 0.500 0.500 x2
Ge 0.500 0.500 0.000 x1
Cl 0.000 0.000 0.500 x1

BeIn2Sn2: relaxed, PBE.

Results
Raw total energy (eV per atom): -3.10
Theoretical density (g/cm3): 6.40
ΔH_f (0 K) (eV per atom): 0.344

Unit cell a=6.710 b=6.710 c=5.483 alpha=90.00 beta=90.00 gamma=90.00
Space group P4/mbm (No. 127)
Unique sites:
Be 0.000 0.000 0.000 x2
In 0.158 0.342 0.000 x4
Sn 0.174 0.674 0.500 x4

KBa2NaSi: relaxed, PBE.

Results
Raw total energy (eV per atom): -1.69
Theoretical density (g/cm3): 2.46
Formation energy from raw total energies (meV per atom): 651.8

Unit cell a=6.558 b=6.558 c=5.716 alpha=90.00 beta=90.00 gamma=90.00
Space group P4/mmm (No. 123)
Unique sites:
K 0.000 0.000 0.000 x1
Ba 0.000 0.500 0.500 x2
Na 0.000 0.000 0.500 x1
Si 0.500 0.500 0.000 x1

HfMg2: relaxed, PBE.

Results
Raw total energy (eV per atom): -4.16
Theoretical density (g/cm3): 5.83
ΔH_f (0 K) (eV per atom): 0.225

Unit cell a=8.028 b=8.028 c=8.028 alpha=90.00 beta=90.00 gamma=90.00
Space group Fd-3m (No. 227, origin choice 2)
Unique sites:
Hf 0.125 0.125 0.125 x8
Mg 0.000 0.000 0.500 x16

Li2ZrTlH: relaxed, PBE.

Results
Raw total energy (eV per atom): -3.81
Theoretical density (g/cm3): 6.50

Unit cell a=4.223 b=4.223 c=4.451 alpha=90.00 beta=90.00 gamma=90.00
Space group P4/mmm (No. 123)
Unique sites:
Li 0.000 0.500 0.000 x2
Zr 0.000 0.000 0.500 x1
Tl 0.500 0.500 0.500 x1
H 0.000 0.000 0.000 x1

Li2CuTe: relaxed, PBE.

Results
Raw total energy (eV per atom): -3.03
Theoretical density (g/cm3): 4.79
Formation energy from raw total energies (meV per atom): -266.4

Unit cell a=3.088 b=4.493 c=5.125 alpha=90.00 beta=90.24 gamma=90.00
Space group Pm (No. 6)
Unique sites:
Li 0.000 0.000 0.000 x1
Li 0.008 0.500 0.669 x1
Cu 0.504 0.500 0.129 x1
Te 0.506 0.000 0.476 x1

PmNd3Ho2: relaxed, PBE.

Results
Raw total energy (eV per atom): -4.37
Theoretical density (g/cm3): 7.29
ΔH_f (0 K) (eV per atom): 0.329

Unit cell a=3.510 b=5.976 c=19.710 alpha=90.00 beta=90.00 gamma=90.00
Space group Immm (No. 71)
Unique sites:
Pm 0.000 0.000 0.000 x2
Nd 0.000 0.000 0.191 x4
Nd 0.000 0.500 0.000 x2
Ho 0.000 0.000 0.362 x4

ZrCrIr2: relaxed, PBE.

Results
Raw total energy (eV per atom): -9.34
Theoretical density (g/cm3): 13.57
ΔH_f (0 K) (eV per atom): -0.365

Unit cell a=2.981 b=4.541 c=4.769 alpha=90.00 beta=90.00 gamma=90.00
Space group Pmm2 (No. 25)
Unique sites:
Zr 0.000 0.000 0.000 x1
Cr 0.000 0.500 0.585 x1
Ir 0.500 0.000 0.506 x1
Ir 0.500 0.500 0.123 x1

Tl3Hg2Pb2: relaxed, PBE.

Results
Raw total energy (eV per atom): -2.15
Theoretical density (g/cm3): 11.26
ΔH_f (0 K) (eV per atom): 0.006

Unit cell a=3.347 b=5.561 c=22.634 alpha=90.00 beta=90.00 gamma=90.00
Space group Immm (No. 71)
Unique sites:
Tl 0.000 0.000 0.000 x2
Tl 0.000 0.500 0.212 x4
Hg 0.000 0.500 0.355 x4
Pb 0.000 0.000 0.424 x4

Ti12Sn3Pb: relaxed, PBE.

Results
Raw total energy (eV per atom): -7.14
Theoretical density (g/cm3): 6.53
ΔH_f (0 K) (eV per atom): -0.233

Unit cell a=5.249 b=5.249 c=10.501 alpha=90.00 beta=90.00 gamma=90.00
Space group Pmmm (No. 47)
Unique sites:
Ti 0.000 0.000 0.125 x2
Ti 0.000 0.000 0.374 x2
Ti 0.251 0.500 0.247 x4
Ti 0.500 0.247 0.500 x2
Ti 0.500 0.250 0.000 x2
Sn 0.000 0.500 0.000 x1
Sn 0.500 0.000 0.250 x2
Pb 0.000 0.500 0.500 x1